Below is a relaxed structure of AgHgMo2O8, with properties calculated at the PBE with a Hubbard U level.

Properties
The calculation puts the electronic total energy at -5.726 eV/atom. The total magnetic moment is 1.1 Bohr magnetons per cell. As for the space-group type: I-4m2 (119). For the density of states at the Fermi level, the calculation gives 6.51 states/eV/f.u.

Cell: 6.209 6.209 6.209 Å, 109.32 109.32 109.78°
Fractional coordinates of all 12 atoms:
1 Ag 0.000 0.000 0.000
2 Hg 0.750 0.250 0.500
3 Mo 0.250 0.750 0.500
4 Mo 0.500 0.500 0.000
5 O 0.099 0.398 0.299
6 O 0.099 0.800 0.701
7 O 0.150 0.350 0.800
8 O 0.200 0.901 0.299
9 O 0.550 0.350 0.200
10 O 0.602 0.901 0.701
11 O 0.650 0.450 0.800
12 O 0.650 0.850 0.200